VASP calculation (GGA-PBE) on a geometry-optimized ScCoSb2I structure.

Summary:
The space-group type is No. 123. The density comes out at 4.61 g cm⁻³. As for the formation energy from raw total energies: 695.7 meV per atom.

Cell: 5.5410 5.5410 5.5601 Å, 90.00 90.00 90.00°
Closest atoms and distances in Å follow each position.
Fractional positions:
Sc (0.0000, 0.0000, 0.0000)  4 Sb 2.77, 2 I 2.78
Co (0.5000, 0.5000, 0.5000)  4 I 3.92, 8 Sb 3.92
Sb (0.0000, 0.5000, 0.0000)  2 Sc 2.77
Sb (0.5000, 0.0000, 0.0000)  2 Sc 2.77
I (0.0000, 0.0000, 0.5000)  2 Sc 2.78


VASP calculation (GGA-PBE) on a geometry-optimized ScCoSb2I structure.

Summary:
The space-group type is No. 123. The density comes out at 6.04 g cm⁻³. As for the formation energy from raw total energies: 245.6 meV per atom.

Cell: 4.8886 4.8886 5.4606 Å, 90.00 90.00 90.00°
Closest atoms and distances in Å follow each position.
Fractional positions:
Sc (0.0000, 0.0000, 0.0000)  4 I 3.46, 8 Sb 3.66
Co (0.5000, 0.5000, 0.5000)  4 Sb 2.44, 2 I 2.73
Sb (0.0000, 0.5000, 0.5000)  2 Co 2.44
Sb (0.5000, 0.0000, 0.5000)  2 Co 2.44
I (0.5000, 0.5000, 0.0000)  2 Co 2.73


VASP calculation (GGA-PBE) on a geometry-optimized CoSb2SeI structure.

Summary:
The space-group type is No. 123. The density comes out at 6.66 g cm⁻³. As for the formation energy from raw total energies: 403.4 meV per atom.

Cell: 4.9795 4.9795 5.1098 Å, 90.00 90.00 90.00°
Closest atoms and distances in Å follow each position.
Fractional positions:
Co (0.0000, 0.0000, 0.0000)  4 Sb 2.49, 2 I 2.55
Sb (0.0000, 0.5000, 0.0000)  2 Co 2.49
Sb (0.5000, 0.0000, 0.0000)  2 Co 2.49
Se (0.5000, 0.5000, 0.5000)  4 I 3.52, 8 Sb 3.57
I (0.0000, 0.0000, 0.5000)  2 Co 2.55


VASP calculation (GGA-PBE) on a geometry-optimized CoSb2SeI structure.

Summary:
The space-group type is No. 123. The density comes out at 5.00 g cm⁻³. As for the formation energy from raw total energies: 1213.6 meV per atom.

Cell: 5.4173 5.4173 5.7516 Å, 90.00 90.00 90.00°
Closest atoms and distances in Å follow each position.
Fractional positions:
Co (0.0000, 0.0000, 0.0000)  4 I 3.83, 8 Sb 3.95
Sb (0.0000, 0.5000, 0.5000)  2 Se 2.71
Sb (0.5000, 0.0000, 0.5000)  2 Se 2.71
Se (0.5000, 0.5000, 0.5000)  4 Sb 2.71, 2 I 2.88
I (0.5000, 0.5000, 0.0000)  2 Se 2.88


VASP calculation (GGA-PBE) on a geometry-optimized CoSiSb2I structure.

Summary:
The space-group type is No. 123. The density comes out at 5.15 g cm⁻³. As for the formation energy from raw total energies: 1165.1 meV per atom.

Cell: 5.2291 5.2291 5.3901 Å, 90.00 90.00 90.00°
Closest atoms and distances in Å follow each position.
Fractional positions:
Co (0.0000, 0.0000, 0.0000)  4 I 3.70, 8 Sb 3.75
Si (0.5000, 0.5000, 0.5000)  4 Sb 2.61, 2 I 2.70
Sb (0.0000, 0.5000, 0.5000)  2 Si 2.61
Sb (0.5000, 0.0000, 0.5000)  2 Si 2.61
I (0.5000, 0.5000, 0.0000)  2 Si 2.70


VASP calculation (GGA-PBE) on a geometry-optimized CoSiSb2I structure.

Summary:
The space-group type is No. 123. The density comes out at 5.93 g cm⁻³. As for the formation energy from raw total energies: 688.2 meV per atom.

Cell: 4.8500 4.8500 5.4426 Å, 90.00 90.00 90.00°
Closest atoms and distances in Å follow each position.
Fractional positions:
Co (0.0000, 0.0000, 0.0000)  4 Sb 2.43
Si (0.5000, 0.5000, 0.5000)  4 I 3.43, 8 Sb 3.65
Sb (0.0000, 0.5000, 0.0000)  2 Co 2.43
Sb (0.5000, 0.0000, 0.0000)  2 Co 2.43
I (0.0000, 0.0000, 0.5000)  2 Co 2.72


VASP calculation (GGA-PBE) on a geometry-optimized CoSnSb2I structure.

Summary:
The space-group type is No. 123. The density comes out at 4.76 g cm⁻³. As for the formation energy from raw total energies: 1240.4 meV per atom.

Cell: 5.7008 5.7008 5.8854 Å, 90.00 90.00 90.00°
Closest atoms and distances in Å follow each position.
Fractional positions:
Co (0.0000, 0.0000, 0.0000)  4 I 4.03, 8 Sb 4.10
Sn (0.5000, 0.5000, 0.5000)  4 Sb 2.85, 2 I 2.94
Sb (0.0000, 0.5000, 0.5000)  2 Sn 2.85
Sb (0.5000, 0.0000, 0.5000)  2 Sn 2.85
I (0.5000, 0.5000, 0.0000)  2 Sn 2.94


VASP calculation (GGA-PBE) on a geometry-optimized CoSnSb2I structure.

Summary:
The space-group type is No. 123. The density comes out at 6.73 g cm⁻³. As for the formation energy from raw total energies: 344.4 meV per atom.

Cell: 4.9186 4.9186 5.5923 Å, 90.00 90.00 90.00°
Closest atoms and distances in Å follow each position.
Fractional positions:
Co (0.0000, 0.0000, 0.0000)  4 Sb 2.46
Sn (0.5000, 0.5000, 0.5000)  4 I 3.48, 8 Sb 3.72
Sb (0.0000, 0.5000, 0.0000)  2 Co 2.46
Sb (0.5000, 0.0000, 0.0000)  2 Co 2.46
I (0.0000, 0.0000, 0.5000)  2 Co 2.80


VASP calculation (GGA-PBE) on a geometry-optimized SrCoSb2I structure.

Summary:
The space-group type is No. 123. The density comes out at 5.64 g cm⁻³. As for the formation energy from raw total energies: -235.6 meV per atom.

Cell: 4.9074 4.9074 6.3230 Å, 90.00 90.00 90.00°
Closest atoms and distances in Å follow each position.
Fractional positions:
Sr (0.0000, 0.0000, 0.0000)  4 I 3.47
Co (0.5000, 0.5000, 0.5000)  4 Sb 2.45
Sb (0.0000, 0.5000, 0.5000)  2 Co 2.45
Sb (0.5000, 0.0000, 0.5000)  2 Co 2.45
I (0.5000, 0.5000, 0.0000)  2 Co 3.16, 4 Sr 3.47


VASP calculation (GGA-PBE) on a geometry-optimized SrCoSb2I structure.

Summary:
The space-group type is No. 123. The density comes out at 3.61 g cm⁻³. As for the formation energy from raw total energies: 1072.4 meV per atom.

Cell: 6.2410 6.2410 6.1054 Å, 90.00 90.00 90.00°
Closest atoms and distances in Å follow each position.
Fractional positions:
Sr (0.0000, 0.0000, 0.0000)  2 I 3.05, 4 Sb 3.12
Co (0.5000, 0.5000, 0.5000)  8 Sb 4.37, 4 I 4.41
Sb (0.0000, 0.5000, 0.0000)  2 Sr 3.12
Sb (0.5000, 0.0000, 0.0000)  2 Sr 3.12
I (0.0000, 0.0000, 0.5000)  2 Sr 3.05


VASP calculation (GGA-PBE) on a geometry-optimized TaCoSb2I structure.

Summary:
The space-group type is No. 123. The density comes out at 6.34 g cm⁻³. As for the formation energy from raw total energies: 1073.4 meV per atom.

Cell: 5.3775 5.3775 5.5258 Å, 90.00 90.00 90.00°
Closest atoms and distances in Å follow each position.
Fractional positions:
Ta (0.0000, 0.0000, 0.0000)  4 Sb 2.69, 2 I 2.76
Co (0.5000, 0.5000, 0.5000)  4 I 3.80, 8 Sb 3.86
Sb (0.0000, 0.5000, 0.0000)  2 Ta 2.69
Sb (0.5000, 0.0000, 0.0000)  2 Ta 2.69
I (0.0000, 0.0000, 0.5000)  2 Ta 2.76


VASP calculation (GGA-PBE) on a geometry-optimized TaCoSb2I structure.

Summary:
The space-group type is No. 123. The density comes out at 8.46 g cm⁻³. As for the formation energy from raw total energies: 1055.3 meV per atom.

Cell: 4.8553 4.8553 5.0809 Å, 90.00 90.00 90.00°
Closest atoms and distances in Å follow each position.
Fractional positions:
Ta (0.0000, 0.0000, 0.0000)  4 I 3.43, 8 Sb 3.51
Co (0.5000, 0.5000, 0.5000)  4 Sb 2.43, 2 I 2.54
Sb (0.0000, 0.5000, 0.5000)  2 Co 2.43
Sb (0.5000, 0.0000, 0.5000)  2 Co 2.43
I (0.5000, 0.5000, 0.0000)  2 Co 2.54